a.
Material: Sr2AlSb
Method: DFT, PBE
State: optimized geometry

Cell and atoms, written as POSCAR:
```
Sr2AlSb
1.0
3.6844 -4.6955 0.0000
3.6844 4.6955 0.0000
0.0000 0.0000 3.6194
Sr Al Sb
2 1 1
direct
0.0000 0.5000 0.0000
0.5000 0.0000 0.0000
0.0000 0.0000 0.5000
0.5000 0.5000 0.5000
```

---

b.
Material: Sr2AlSb
Method: DFT, PBE
State: optimized geometry

Cell and atoms, written as POSCAR:
```
Sr2AlSb
1.0
2.2186 1.2809 8.9824
-2.2186 1.2809 8.9824
0.0000 -2.5618 8.9824
Sr Al Sb
2 1 1
direct
0.0000 0.0000 0.0000
0.1997 0.1997 0.1997
0.4561 0.4561 0.4561
0.7494 0.7494 0.7494
```

---

Pick a: it beats the second-best structure by 9.1 kJ/mol of atoms.

---

a.
Material: Sr2AlSb
Method: DFT, PBE
State: optimized geometry

Cell and atoms, written as POSCAR:
```
Sr2AlSb
1.0
4.9922 0.0000 0.0000
0.0000 4.4321 0.0000
-2.4958 0.0000 6.0319
Sr Al Sb
2 1 1
direct
0.0000 0.0000 0.0000
0.2781 0.5000 0.5571
0.7169 0.0000 0.4357
0.5680 0.5000 0.1358
```

---

b.
Material: Sr2AlSb
Method: DFT, PBE
State: optimized geometry

Cell and atoms, written as POSCAR:
```
Sr2AlSb
1.0
-2.0963 2.5884 5.9334
2.0963 -2.5884 5.9334
2.0963 2.5884 -5.9334
Sr Al Sb
2 1 1
direct
0.0000 0.0000 0.0000
0.7265 0.2265 0.5000
0.4449 0.4449 0.0000
0.2807 0.7807 0.5000
```

---

Pick a: it beats the second-best structure by 11.6 kJ/mol of atoms.

---

a.
Material: Sr2AlSb
Method: DFT, PBE
State: optimized geometry

Cell and atoms, written as POSCAR:
```
Sr2AlSb
1.0
3.9964 0.0000 0.0000
0.0000 4.3397 0.0000
0.0000 0.0000 7.3521
Sr Al Sb
2 1 1
direct
0.0000 0.0000 0.2445
0.0000 0.0000 0.7555
0.5000 0.5000 0.5000
0.5000 0.5000 0.0000
```

---

b.
Material: Sr2AlSb
Method: DFT, PBE
State: optimized geometry

Cell and atoms, written as POSCAR:
```
Sr2AlSb
1.0
-4.4240 4.4240 3.6716
4.4240 -4.4240 3.6716
4.4240 4.4240 -3.6716
Sr Al Sb
4 2 2
direct
0.1189 0.6250 0.9939
0.3750 0.3689 0.4939
0.6311 0.1250 0.0061
0.8750 0.8811 0.5061
0.2500 0.7500 0.5000
0.5000 0.5000 0.0000
0.0000 0.0000 0.0000
0.7500 0.2500 0.5000
```

---

Pick a: it beats the second-best structure by 28.6 kJ/mol of atoms.

---

a.
Material: Sr2AlSb
Method: DFT, PBE
State: optimized geometry

Cell and atoms, written as POSCAR:
```
Sr2AlSb
1.0
0.0000 4.0077 4.0077
4.0077 0.0000 4.0077
4.0077 4.0077 0.0000
Sr Al Sb
2 1 1
direct
0.2500 0.2500 0.2500
0.7500 0.7500 0.7500
0.0000 0.0000 0.0000
0.5000 0.5000 0.5000
```

---

b.
Material: Sr2AlSb
Method: DFT, PBE
State: optimized geometry

Cell and atoms, written as POSCAR:
```
Sr2AlSb
1.0
2.7659 -2.7716 0.0000
2.7659 2.7716 0.0000
0.0000 0.0000 9.0718
Sr Al Sb
2 1 1
direct
0.0000 0.0000 0.0000
0.5000 0.5000 0.3830
0.0000 0.0000 0.6283
0.5000 0.5000 0.7548
```

---

Pick a: it beats the second-best structure by 13.4 kJ/mol of atoms.

---

a.
Material: SrAlSbTe2
Method: DFT, PBE
State: optimized geometry

Cell and atoms, written as POSCAR:
```
SrAlSbTe2
1.0
6.1440 0.0000 0.0000
0.0000 6.1440 0.0000
0.0000 0.0000 6.0658
Sr Al Sb Te
1 1 1 2
direct
0.0000 0.0000 0.0000
0.5000 0.5000 0.5000
0.0000 0.0000 0.5000
0.0000 0.5000 0.0000
0.5000 0.0000 0.0000
```

---

b.
Material: SrAlSbTe2
Method: DFT, PBE
State: optimized geometry

Cell and atoms, written as POSCAR:
```
SrAlSbTe2
1.0
5.6054 0.0000 0.0000
0.0000 5.6054 0.0000
0.0000 0.0000 5.1783
Sr Al Sb Te
1 1 1 2
direct
0.0000 0.0000 0.0000
0.5000 0.5000 0.5000
0.5000 0.5000 0.0000
0.0000 0.5000 0.5000
0.5000 0.0000 0.5000
```

---

Pick b: it beats the second-best structure by 82.3 kJ/mol of atoms.

---

a.
Material: TaAlSb3
Method: DFT, PBE
State: optimized geometry

Cell and atoms, written as POSCAR:
```
TaAlSb3
1.0
5.1513 0.0000 0.0000
0.0000 5.1513 0.0000
0.0000 0.0000 5.1513
Ta Al Sb
1 1 3
direct
0.0000 0.0000 0.0000
0.5000 0.5000 0.5000
0.0000 0.5000 0.5000
0.5000 0.0000 0.5000
0.5000 0.5000 0.0000
```

---

b.
Material: TaAlSb3
Method: DFT, PBE
State: optimized geometry

Cell and atoms, written as POSCAR:
```
TaAlSb3
1.0
5.3782 0.0000 0.0000
0.0000 5.3782 0.0000
0.0000 0.0000 5.3782
Ta Al Sb
1 1 3
direct
0.0000 0.0000 0.0000
0.5000 0.5000 0.5000
0.0000 0.0000 0.5000
0.0000 0.5000 0.0000
0.5000 0.0000 0.0000
```

---

Pick b: it beats the second-best structure by 63.5 kJ/mol of atoms.

---

a.
Material: Ta2AlSb
Method: DFT, PBE
State: optimized geometry

Cell and atoms, written as POSCAR:
```
Ta2AlSb
1.0
3.0074 0.0000 0.0000
0.0000 4.3812 0.0000
-1.1597 0.0000 5.6671
Ta Al Sb
2 1 1
direct
0.2269 0.0000 0.2353
0.7731 0.0000 0.7647
0.5000 0.5000 0.0000
0.0000 0.5000 0.5000
```

---

b.
Material: Ta2AlSb
Method: DFT, PBE
State: optimized geometry

Cell and atoms, written as POSCAR:
```
Ta2AlSb
1.0
4.7617 -1.6335 0.0000
4.7617 1.6335 0.0000
-0.7237 0.0000 4.8510
Ta Al Sb
2 1 1
direct
0.2501 0.2501 0.2375
0.7499 0.7499 0.7625
0.5000 0.5000 0.0000
0.0000 0.0000 0.5000
```

---

c.
Material: Ta2AlSb
Method: DFT, PBE
State: optimized geometry

Cell and atoms, written as POSCAR:
```
Ta2AlSb
1.0
1.5583 0.8997 9.3750
-1.5583 0.8997 9.3750
0.0000 -1.7993 9.3750
Ta Al Sb
2 1 1
direct
0.0000 0.0000 0.0000
0.2511 0.2511 0.2511
0.7428 0.7428 0.7428
0.5020 0.5020 0.5020
```

---

d.
Material: Ta2AlSb
Method: DFT, PBE
State: optimized geometry

Cell and atoms, written as POSCAR:
```
Ta2AlSb
1.0
3.0009 0.0000 0.0000
0.0000 4.7106 0.0000
-1.4824 0.0000 5.4204
Ta Al Sb
2 1 1
direct
0.0000 0.0000 0.0000
0.1248 0.5000 0.7443
0.7233 0.5000 0.1988
0.4039 0.0000 0.5161
```

---

Pick b: it beats the second-best structure by 1.5 kJ/mol of atoms.

---

a.
Material: TaAlSb
Method: DFT, PBE
State: optimized geometry

Cell and atoms, written as POSCAR:
```
TaAlSb
1.0
0.0000 2.3002 6.8941
1.9543 0.0000 6.8941
1.9543 2.3002 0.0000
Ta Al Sb
1 1 1
direct
0.0000 0.0000 0.0000
0.3611 0.3611 0.6389
0.6610 0.6610 0.3390
```

---

b.
Material: TaAlSb
Method: DFT, PBE
State: optimized geometry

Cell and atoms, written as POSCAR:
```
TaAlSb
1.0
0.0000 3.2030 3.2030
3.2030 0.0000 3.2030
3.2030 3.2030 0.0000
Ta Al Sb
1 1 1
direct
0.0000 0.0000 0.0000
0.7500 0.7500 0.7500
0.5000 0.5000 0.5000
```

---

Pick a: it beats the second-best structure by 50.8 kJ/mol of atoms.